[1]
This record from OQMD via LeMat-Bulk describes a relaxed structure of PrCoAgGe2. The functional is GGA-PBE.

Calculated values
Its energy is -25.865 eV per cell. As for the space group: No. 119.

a = 6.072 Å, b = 6.072 Å, c = 6.072 Å
α = 139.18°, β = 139.18°, γ = 59.10°
Fractional positions:
Pr: 0.000 0.000 0.000
Co: 0.750 0.250 0.500
Ag: 0.250 0.750 0.500
Ge: 0.380 0.380 0.000
Ge: 0.620 0.620 0.000

---

[2]
This record from OQMD via LeMat-Bulk describes a relaxed structure of ScCoAgGe. The functional is GGA-PBE.

Calculated values
Its energy is -21.542 eV per cell. As for the space group: No. 216.

a = 4.469 Å, b = 4.469 Å, c = 4.469 Å
α = 60.00°, β = 60.00°, γ = 60.00°
Fractional positions:
Sc: 0.000 0.000 0.000
Co: 0.750 0.750 0.750
Ag: 0.250 0.250 0.250
Ge: 0.500 0.500 0.500

---

[3]
This record from OQMD via LeMat-Bulk describes a relaxed structure of ScCoAgGe. The functional is GGA-PBE.

Calculated values
Its energy is -21.534 eV per cell. As for the space group: No. 216.

a = 4.480 Å, b = 4.480 Å, c = 4.480 Å
α = 60.00°, β = 60.00°, γ = 60.00°
Fractional positions:
Sc: 0.000 0.000 0.000
Co: 0.500 0.500 0.500
Ag: 0.750 0.750 0.750
Ge: 0.250 0.250 0.250

---

[4]
This record from OQMD via LeMat-Bulk describes a relaxed structure of SmCoAgGe2. The functional is GGA-PBE.

Calculated values
Its energy is -25.770 eV per cell. As for the space group: No. 119.

a = 6.065 Å, b = 6.065 Å, c = 6.065 Å
α = 139.79°, β = 139.79°, γ = 58.18°
Fractional positions:
Sm: 0.000 0.000 0.000
Co: 0.250 0.750 0.500
Ag: 0.750 0.250 0.500
Ge: 0.382 0.382 0.000
Ge: 0.618 0.618 0.000

---

[5]
This record from OQMD via LeMat-Bulk describes a relaxed structure of SrCoAgGe2. The functional is GGA-PBE.

Calculated values
Its energy is -22.014 eV per cell. As for the space group: No. 119.

a = 6.112 Å, b = 6.112 Å, c = 6.112 Å
α = 138.43°, β = 138.43°, γ = 60.25°
Fractional positions:
Sr: 0.000 0.000 0.000
Co: 0.250 0.750 0.500
Ag: 0.750 0.250 0.500
Ge: 0.376 0.376 0.000
Ge: 0.624 0.624 0.000

---

[6]
This record from OQMD via LeMat-Bulk describes a relaxed structure of TaCoAgGe. The functional is GGA-PBE.

Calculated values
Its energy is -25.118 eV per cell. As for the space group: No. 216.

a = 4.425 Å, b = 4.425 Å, c = 4.425 Å
α = 60.00°, β = 60.00°, γ = 60.00°
Fractional positions:
Ta: 0.000 0.000 0.000
Co: 0.750 0.750 0.750
Ag: 0.250 0.250 0.250
Ge: 0.500 0.500 0.500

---

[7]
This record from OQMD via LeMat-Bulk describes a relaxed structure of TaCoAgGe. The functional is GGA-PBE.

Calculated values
Its energy is -25.186 eV per cell. As for the space group: No. 216.

a = 4.427 Å, b = 4.427 Å, c = 4.427 Å
α = 60.00°, β = 60.00°, γ = 60.00°
Fractional positions:
Ta: 0.000 0.000 0.000
Co: 0.500 0.500 0.500
Ag: 0.750 0.750 0.750
Ge: 0.250 0.250 0.250

---

[8]
This record from OQMD via LeMat-Bulk describes a relaxed structure of CoTcAgGe. The functional is GGA-PBE.

Calculated values
Its energy is -23.535 eV per cell. As for the space group: No. 216.

a = 4.330 Å, b = 4.330 Å, c = 4.330 Å
α = 60.00°, β = 60.00°, γ = 60.00°
Fractional positions:
Co: 0.000 0.000 0.000
Tc: 0.500 0.500 0.500
Ag: 0.250 0.250 0.250
Ge: 0.750 0.750 0.750

---

[9]
This record from OQMD via LeMat-Bulk describes a relaxed structure of CoAgGeW. The functional is GGA-PBE.

Calculated values
Its energy is -25.200 eV per cell. As for the space group: No. 216.

a = 4.373 Å, b = 4.373 Å, c = 4.373 Å
α = 60.00°, β = 60.00°, γ = 60.00°
Fractional positions:
Co: 0.000 0.000 0.000
Ag: 0.250 0.250 0.250
Ge: 0.750 0.750 0.750
W: 0.500 0.500 0.500

---

[10]
This record from OQMD via LeMat-Bulk describes a relaxed structure of YCoAgGe. The functional is GGA-PBE.

Calculated values
Its energy is -21.373 eV per cell. As for the space group: No. 216.

a = 4.687 Å, b = 4.687 Å, c = 4.687 Å
α = 60.00°, β = 60.00°, γ = 60.00°
Fractional positions:
Y: 0.000 0.000 0.000
Co: 0.500 0.500 0.500
Ag: 0.750 0.750 0.750
Ge: 0.250 0.250 0.250

---

[11]
This record from OQMD via LeMat-Bulk describes a relaxed structure of YCoAgGe. The functional is GGA-PBE.

Calculated values
Its energy is -21.367 eV per cell. As for the space group: No. 216.

a = 4.643 Å, b = 4.643 Å, c = 4.643 Å
α = 60.00°, β = 60.00°, γ = 60.00°
Fractional positions:
Y: 0.000 0.000 0.000
Co: 0.750 0.750 0.750
Ag: 0.250 0.250 0.250
Ge: 0.500 0.500 0.500

---

[12]
This record from OQMD via LeMat-Bulk describes a relaxed structure of ZnCoAgGe. The functional is GGA-PBE.

Calculated values
Its energy is -14.880 eV per cell. As for the space group: No. 216.

a = 4.378 Å, b = 4.378 Å, c = 4.378 Å
α = 60.00°, β = 60.00°, γ = 60.00°
Fractional positions:
Zn: 0.000 0.000 0.000
Co: 0.500 0.500 0.500
Ag: 0.750 0.750 0.750
Ge: 0.250 0.250 0.250

---

[13]
This record from OQMD via LeMat-Bulk describes a relaxed structure of ZnCoAgGe. The functional is GGA-PBE.

Calculated values
Its energy is -15.119 eV per cell. As for the space group: No. 216.

a = 4.355 Å, b = 4.355 Å, c = 4.355 Å
α = 60.00°, β = 60.00°, γ = 60.00°
Fractional positions:
Zn: 0.000 0.000 0.000
Co: 0.750 0.750 0.750
Ag: 0.250 0.250 0.250
Ge: 0.500 0.500 0.500

---

[14]
This record from OQMD via LeMat-Bulk describes a relaxed structure of CoAgH6. The functional is GGA-PBE.

Calculated values
Its energy is -28.442 eV per cell. As for the space group: No. 2.

a = 2.744 Å, b = 4.790 Å, c = 4.823 Å
α = 63.62°, β = 74.62°, γ = 74.02°
Fractional positions:
Co: 0.000 0.000 0.000
Ag: 0.500 0.500 0.500
H: 0.091 0.626 0.182
H: 0.178 0.884 0.736
H: 0.389 0.067 0.171
H: 0.611 0.933 0.829
H: 0.822 0.116 0.264
H: 0.909 0.374 0.818

---

[15]
This record from OQMD via LeMat-Bulk describes a relaxed structure of K2CoAgH6. The functional is GGA-PBE.

Calculated values
Its energy is -32.916 eV per cell. As for the space group: No. 225.

a = 5.381 Å, b = 5.381 Å, c = 5.381 Å
α = 60.00°, β = 60.00°, γ = 60.00°
Fractional positions:
K: 0.250 0.250 0.250
K: 0.750 0.750 0.750
Co: 0.000 0.000 0.000
Ag: 0.500 0.500 0.500
H: 0.212 0.212 0.788
H: 0.212 0.788 0.212
H: 0.212 0.788 0.788
H: 0.788 0.212 0.212
H: 0.788 0.212 0.788
H: 0.788 0.788 0.212